! LiVIO2 (PBE+U, relaxed); values from VASP
! V = 16.46 Å³/atom
! Space group = P4/mmm, No. 123
! E_tot = -3.9264 eV per atom
! Polymorph energy (0 for the lowest one) = 1.464 eV/atom
&SYSTEM
  ibrav = 0, nat = 5, ntyp = 4
/
ATOMIC_SPECIES
Li 6.94 Li.upf
V 50.94 V.upf
I 126.90 I.upf
O 16.00 O.upf
CELL_PARAMETERS angstrom
3.9891 0.0000 0.0000
0.0000 3.9891 0.0000
0.0000 0.0000 5.1723
ATOMIC_POSITIONS crystal
Li 0.0000 0.0000 0.0000
V 0.5000 0.5000 0.5000
I 0.0000 0.0000 0.5000
O 0.0000 0.5000 0.0000
O 0.5000 0.0000 0.0000